[1]
DyPu2Sb | PBE-GGA | relaxed

```
DyPu2Sb
1.0
5.059 0.000 0.000
0.000 4.550 0.000
0.000 0.000 4.550
Pu Dy Sb
2 1 1
Cartesian
0.000 2.275 0.000 Pu
0.000 0.000 2.275 Pu
2.529 2.275 2.275 Dy
2.529 0.000 0.000 Sb
```

Computed properties:
Formation energy (no corrections) (eV per atom): -0.4068
Crystal system: tetragonal
Symmetry: P4/mmm (123)
M_tot (μB per formula unit): 12.13
Calculated volume (Å³/atom): 26.2
Total energy (Ha/atom): -0.3584

=====

[2]
ZrRh | PBE-GGA | relaxed

```
ZrRh
1.0
1.848 5.031 -0.002
-1.848 5.031 -0.002
0.000 2.118 5.898
Rh Zr
3 3
Cartesian
0.000 4.321 1.528 Rh
0.000 5.258 4.661 Rh
0.000 8.100 3.510 Rh
0.000 7.534 0.807 Zr
0.000 10.891 2.767 Zr
0.000 2.466 5.392 Zr
```

Computed properties:
Formation energy from the elements (meV/atom): -597
Crystal system: monoclinic
Symmetry: Cm (8)
M_tot (μB per formula unit): 0.00
Calculated volume (Å³/atom): 18.3
Total energy (Ha/atom): -0.3141

=====

[3]
Cd2CoH2 | PBE-GGA | relaxed

```
Cd2CoH2
1.0
-2.974 -0.379 -0.227
0.365 -2.978 0.189
-1.866 -1.319 6.724
Cd H Co
2 2 1
Cartesian
-3.019 -3.094 4.895 Cd
-1.455 -1.582 1.790 Cd
-3.072 -1.689 3.239 H
-1.402 -2.988 3.447 H
0.000 0.000 0.000 Co
```

Computed properties:
Crystal system: tetragonal
Symmetry: I4/mmm (139)
Polymorph energy (0 for the lowest one) (eV/atom): 0.2102
M_tot (μB per formula unit): 1.21
Calculated volume (Å³/atom): 12.2
Total energy (Ha/atom): -0.0949

=====

- Among the records above, which one has the highest calculated volume?
  DyPu2Sb